Record 1
Material: Ta2TlRe2
Method: DFT, GGA-PBE
State: optimized geometry

The structure belongs to space group I4/mmm (No. 139); the cell edges are 4.0204, 4.0204 and 12.9427 Å and the angles 90.00°, 90.00° and 90.00°. The asymmetric unit holds Ta at (0.0000, 0.0000, 0.1216), Tl at (0.0000, 0.0000, 0.5000) and Re at (0.0000, 0.5000, 0.2500).

The calculation puts the volume at 20.920 Å³/atom. Its formation enthalpy at 0 K is 304 kJ/mol of formula units. The calculation puts the spin magnetization at 0.0 μB per cell.

Record 2
Material: Pm3Dy2Cd
Method: DFT, GGA-PBE
State: optimized geometry

The structure belongs to space group Cmcm (No. 63); the cell edges are 10.5902, 6.1432 and 11.3999 Å and the angles 90.00°, 90.00° and 90.00°. The asymmetric unit holds Pm at (0.0000, 0.0000, 0.0000), Pm at (0.1602, 0.5000, 0.0000), Dy at (0.1692, 0.1692, 0.2500) and Cd at (0.0000, 0.3276, 0.7500).

The calculation puts the volume at 30.902 Å³/atom. Its formation enthalpy at 0 K is -14 kJ/mol of formula units. The calculation puts the spin magnetization at 0.0 μB per cell.

Record 3
Material: Zr2RhPb
Method: DFT, GGA-PBE
State: optimized geometry

The structure belongs to space group Amm2 (No. 38); the cell edges are 4.2638, 3.7086 and 10.9638 Å and the angles 90.00°, 90.00° and 90.00°. The asymmetric unit holds Zr at (0.0000, 0.0000, 0.0000), Zr at (0.5000, 0.0000, 0.3085), Rh at (0.0000, 0.0000, 0.7622) and Pb at (0.5000, 0.0000, 0.5843).

The calculation puts the volume at 21.671 Å³/atom. Its formation enthalpy at 0 K is -132 kJ/mol of formula units. The calculation puts the spin magnetization at 0.0 μB per cell.

no.,DFT total energy (eV per atom)
1,-9.563
2,-4.086
3,-7.381